1.
The following is a PBE calculation of an optimized crystal structure of Pu6P5Se, from the Alexandria database.

Structure (CIF):
```
data_Pu6P5Se
_chemical_formula_sum 'Pu12 P10 Se2'
_cell_length_a 6.982
_cell_length_b 12.097
_cell_length_c 6.982
_cell_angle_alpha 90.00
_cell_angle_beta 109.50
_cell_angle_gamma 90.00
_symmetry_space_group_name_H-M 'C 1 2/m 1'
_symmetry_Int_Tables_number 12
loop_
_symmetry_equiv_pos_as_xyz
'x,y,z'
'-x,-y,-z'
'-x,y,-z'
'x,-y,z'
'x+1/2,y+1/2,z'
'-x+1/2,-y+1/2,-z'
'-x+1/2,y+1/2,-z'
'x+1/2,-y+1/2,z'
loop_
_atom_site_label
_atom_site_type_symbol
_atom_site_fract_x
_atom_site_fract_y
_atom_site_fract_z
Pu1 Pu 0.244 0.000 0.253
Pu2 Pu 0.245 0.170 0.745
P1 P 0.000 0.000 0.500
P2 P 0.000 0.167 0.000
P3 P 0.000 0.337 0.500
Se1 Se 0.000 0.500 0.000
```

- Final energy: -10.94 eV per atom
- Formation energy without anion corrections: -1.23 eV per atom

***

2.
The following is a PBE calculation of an optimized crystal structure of Pu2PSe, from the Alexandria database.

Structure (CIF):
```
data_Pu2PSe
_chemical_formula_sum 'Pu6 P3 Se3'
_cell_length_a 4.7512
_cell_length_b 4.7512
_cell_length_c 17.4075
_cell_angle_alpha 90.00
_cell_angle_beta 90.00
_cell_angle_gamma 120.00
_symmetry_space_group_name_H-M 'R 3 m'
_symmetry_Int_Tables_number 160
_symmetry_space_group_name_Hall 'R 3 -2"'
loop_
_atom_site_label
_atom_site_type_symbol
_atom_site_fract_x
_atom_site_fract_y
_atom_site_fract_z
Pu1 Pu 0.0000 0.0000 0.0000
Pu2 Pu 0.0000 0.0000 0.4834
P1 P 0.0000 0.0000 0.8429
Se1 Se 0.0000 0.0000 0.6460
```

- Energy relative to the lowest polymorph listed for this composition: 618 meV/atom
- Final energy: -10.15 eV per atom
- Formation energy without anion corrections: -0.76 eV per atom